Entry 1:
LaHoTi: relaxed, PBE.

Total energy   -5.656 eV/atom
Calculated formation energy   0.144 eV per atom
Total magnetization   0.0 μB per formula unit
Space-group type   Cmcm, No. 63

Unit cell a=3.4016 b=4.9631 c=12.1344 alpha=114.14 beta=114.85 gamma=90.00
Positions (direct):
Ti (0.5998, 0.8167, 0.5666)
Ti (0.4002, 0.1833, 0.4334)
La (0.1023, 0.1516, 0.9016)
La (0.8977, 0.8484, 0.0984)
Ho (0.2948, 0.4467, 0.6967)
Ho (0.7052, 0.5533, 0.3033)


Entry 2:
ScRe2PtBr: relaxed, PBE.

Total energy   -6.278 eV/atom
Total magnetization   0.0 μB per formula unit
Formation energy (no corrections)   1510 meV/atom
Space-group type   P4/mmm, No. 123

Unit cell a=4.5645 b=4.7649 c=4.5645 alpha=90.00 beta=90.00 gamma=90.00
Positions (direct):
Re (0.0000, 0.0000, 0.5000)
Re (0.5000, 0.0000, 0.0000)
Sc (0.5000, 0.5000, 0.5000)
Br (0.0000, 0.0000, 0.0000)
Pt (0.0000, 0.5000, 0.0000)


Entry 3:
K2ReHg: relaxed, PBE.

Total energy   -2.490 eV/atom
Calculated formation energy   1.246 eV per atom
Total magnetization   3.1 μB per formula unit
Space-group type   I-4m2, No. 119

Unit cell a=5.4257 b=5.4257 c=5.4257 alpha=120.07 beta=120.07 gamma=89.88
Each line ends with the local moment (μB).
Positions (direct):
Hg (0.7500, 0.2500, 0.5000)  -0.05
K (0.0000, 0.0000, 0.0000)  -0.01
K (0.2500, 0.7500, 0.5000)  0.02
Re (0.5000, 0.5000, 0.0000)  2.80


Entry 4:
LiFePd2: relaxed, PBE.

Total energy   -5.361 eV/atom
Calculated formation energy   -0.171 eV per atom
Total magnetization   3.4 μB per formula unit
Space-group type   R3m, No. 160

Unit cell a=2.7824 b=2.7824 c=8.6133 alpha=80.70 beta=80.70 gamma=60.00
Each line ends with the local moment (μB).
Positions (direct):
Li (0.5000, 0.5000, 0.4999)  -0.01
Fe (0.6666, 0.6666, 0.0002)  3.02
Pd (0.0828, 0.0828, 0.7515)  0.20
Pd (0.2506, 0.2506, 0.2483)  0.19


Entry 5:
LaMnSi: relaxed, PBE.

Total energy   -6.853 eV/atom
Total magnetization   3.7 μB per formula unit
Formation energy (no corrections)   -347 meV/atom
Space-group type   P-6m2, No. 187

Unit cell a=4.2998 b=4.2998 c=4.2737 alpha=90.00 beta=90.00 gamma=120.00
Each line ends with the local moment (μB).
Positions (direct):
La (0.0000, 0.0000, 0.0000)  -0.01
Si (0.3333, 0.6667, 0.5001)  -0.02
Mn (0.6667, 0.3333, 0.4999)  3.48


Entry 6:
Tl3SiMo: relaxed, PBE.

Total energy   -3.546 eV/atom
Total magnetization   0.4 μB per formula unit
Formation energy (no corrections)   1125 meV/atom
Offset from the most stable computed form   0.0 kJ per mole of atoms
Space-group type   Pm-3m, No. 221

Unit cell a=5.4112 b=5.4112 c=5.4112 alpha=90.00 beta=90.00 gamma=90.00
Each line ends with the local moment (μB).
Positions (direct):
Tl (0.5000, 0.0000, 0.0000)  -0.03
Tl (0.0000, 0.0000, 0.5000)  0.02
Tl (0.0000, 0.5000, 0.0000)  0.00
Si (0.5000, 0.5000, 0.5000)  -0.29
Mo (0.0000, 0.0000, 0.0000)  1.15


Entry 7:
Ca2ZnIrN: relaxed, PBE.

Total energy   -5.035 eV/atom
Total magnetization   0.0 μB per formula unit
Formation energy (no corrections)   -543 meV/atom
Space-group type   P4/mmm, No. 123

Unit cell a=5.0386 b=5.0386 c=3.8110 alpha=90.00 beta=90.00 gamma=90.00
Positions (direct):
N (0.0000, 0.0000, 0.0000)
Ir (0.0000, 0.0000, 0.5000)
Ca (0.5000, 0.0000, 0.0000)
Ca (0.0000, 0.5000, 0.0000)
Zn (0.5000, 0.5000, 0.5000)


Entry 8:
Na4In2HgPb2: relaxed, PBE.

Total energy   -2.163 eV/atom
Calculated formation energy   -0.111 eV per atom
Total magnetization   0.0 μB per formula unit
Space-group type   P-1, No. 2

Unit cell a=6.3412 b=8.2524 c=7.3953 alpha=126.06 beta=121.51 gamma=68.63
Positions (direct):
Na (0.3121, 0.3385, 0.5124)
Na (0.6879, 0.6615, 0.4876)
Na (0.4269, 0.1953, 0.9697)
Na (0.5731, 0.8047, 0.0303)
In (0.1516, 0.6089, 0.9768)
In (0.8484, 0.3911, 0.0232)
Pb (0.8646, 0.2160, 0.5196)
Pb (0.1354, 0.7840, 0.4804)
Hg (0.0000, 0.0000, 0.0000)


Entry 9:
Np2Tc3B4: relaxed, PBE.

Total energy   -9.535 eV/atom
Calculated formation energy   -0.236 eV per atom
Total magnetization   5.1 μB per formula unit
Space-group type   P2_1/c, No. 14

Unit cell a=5.9029 b=6.2868 c=6.3324 alpha=90.00 beta=90.00 gamma=108.03
Each line ends with the local moment (μB).
Positions (direct):
B (0.6051, 0.9158, 0.0388)  -0.01
B (0.1051, 0.9158, 0.4612)  -0.01
B (0.8798, 0.5028, 0.1159)  0.00
B (0.1202, 0.4972, 0.8841)  0.00
B (0.6202, 0.4972, 0.6159)  0.00
B (0.3949, 0.0842, 0.9612)  -0.01
B (0.3798, 0.5028, 0.3841)  0.00
B (0.8949, 0.0842, 0.5388)  -0.01
Tc (0.0000, 0.5000, 0.5000)  -0.32
Tc (0.2423, 0.7543, 0.1723)  -0.16
Tc (0.7577, 0.2457, 0.8277)  -0.16
Tc (0.7423, 0.7543, 0.3277)  -0.16
Tc (0.2577, 0.2457, 0.6723)  -0.16
Tc (0.5000, 0.5000, 0.0000)  -0.32
Np (0.9263, 0.8109, 0.8328)  2.77
Np (0.0737, 0.1891, 0.1672)  2.77
Np (0.4263, 0.8109, 0.6672)  2.77
Np (0.5737, 0.1891, 0.3328)  2.77


Entry 10:
CdPRuCl2: relaxed, PBE.

Total energy   -3.779 eV/atom
Total magnetization   0.0 μB per formula unit
Formation energy (no corrections)   80 meV/atom
Offset from the most stable computed form   0.0 kJ per mole of atoms
Space-group type   P4/mmm, No. 123

Unit cell a=4.9457 b=4.9457 c=4.5204 alpha=90.00 beta=90.00 gamma=90.00
Positions (direct):
Cl (0.5000, 0.0000, 0.0000)
Cl (0.0000, 0.5000, 0.0000)
Ru (0.0000, 0.0000, 0.0000)
Cd (0.5000, 0.5000, 0.5000)
P (0.0000, 0.0000, 0.5000)


Entry 11:
LaPuZnOs: relaxed, PBE.

Total energy   -7.958 eV/atom
Calculated formation energy   -0.017 eV per atom
Total magnetization   5.4 μB per formula unit
Space-group type   F-43m, No. 216

Unit cell a=5.0231 b=5.0231 c=5.0231 alpha=60.00 beta=60.00 gamma=60.00
Each line ends with the local moment (μB).
Positions (direct):
Os (0.5000, 0.5000, 0.5000)  -0.41
La (0.2500, 0.2500, 0.2500)  0.10
Pu (0.7500, 0.7500, 0.7500)  5.23
Zn (0.0000, 0.0000, 0.0000)  0.04


Entry 12:
ErAlH6: relaxed, PBE.

Total energy   -3.740 eV/atom
Total magnetization   0.0 μB per formula unit
Space-group type   P2_1/c, No. 14

Unit cell a=4.3065 b=4.3548 c=7.2743 alpha=90.00 beta=75.09 gamma=90.00
Positions (direct):
H (0.8854, 0.0596, 0.8994)
H (0.9600, 0.1505, 0.6106)
H (0.0400, 0.8495, 0.3894)
H (0.6213, 0.8202, 0.1944)
H (0.5400, 0.6505, 0.8894)
H (0.8787, 0.3202, 0.3056)
H (0.3854, 0.4404, 0.3994)
H (0.6146, 0.5596, 0.6006)
H (0.1213, 0.6798, 0.6944)
H (0.3787, 0.1798, 0.8056)
H (0.1146, 0.9404, 0.1006)
H (0.4600, 0.3495, 0.1106)
Al (0.5000, 0.0000, 0.0000)
Al (0.0000, 0.5000, 0.5000)
Er (0.0000, 0.5000, 0.0000)
Er (0.5000, 0.0000, 0.5000)


Entry 13:
LiPd2Au5: relaxed, PBE.

Total energy   -3.696 eV/atom
Calculated formation energy   -0.110 eV per atom
Total magnetization   0.0 μB per formula unit
Offset from the most stable computed form   11.1 kJ per mole of atoms
Space-group type   I4/mcm, No. 140

Unit cell a=7.1131 b=7.1131 c=7.4966 alpha=118.32 beta=118.32 gamma=90.00
Positions (direct):
Au (0.8155, 0.0129, 0.3284)
Au (0.5129, 0.3155, 0.3284)
Au (0.6845, 0.1845, 0.6716)
Au (0.9871, 0.4871, 0.6716)
Au (0.5000, 0.5000, 0.0000)
Au (0.3155, 0.8155, 0.3284)
Au (0.1845, 0.9871, 0.6716)
Au (0.0000, 0.0000, 0.0000)
Au (0.0129, 0.5129, 0.3284)
Au (0.4871, 0.6845, 0.6716)
Pd (0.3556, 0.8556, 0.0000)
Pd (0.8556, 0.6444, 0.0000)
Pd (0.6444, 0.1444, 0.0000)
Pd (0.1444, 0.3556, 0.0000)
Li (0.7500, 0.7500, 0.5000)
Li (0.2500, 0.2500, 0.5000)


Entry 14:
CoAs2Os: relaxed, PBE.

Total energy   -6.764 eV/atom
Calculated formation energy   0.145 eV per atom
Total magnetization   0.3 μB per formula unit
Offset from the most stable computed form   5.3 kJ per mole of atoms
Space-group type   Pmm2, No. 25

Unit cell a=3.0167 b=3.6838 c=5.2107 alpha=90.00 beta=90.00 gamma=90.00
Each line ends with the local moment (μB).
Positions (direct):
Co (0.0000, 0.0000, 0.4417)  0.28
As (0.5000, 0.5000, 0.3173)  0.00
As (0.0000, 0.0000, 0.9539)  0.00
Os (0.5000, 0.5000, 0.7871)  0.00


Entry 15:
Er2Al2In: relaxed, PBE.

Total energy   -4.337 eV/atom
Calculated formation energy   -0.467 eV per atom
Total magnetization   0.0 μB per formula unit
Offset from the most stable computed form   0.0 kJ per mole of atoms
Space-group type   Cmmm, No. 65

Unit cell a=3.4557 b=4.5083 c=7.6035 alpha=107.25 beta=90.00 gamma=90.00
Positions (direct):
Er (0.5000, 0.3789, 0.7579)
Er (0.5000, 0.6211, 0.2421)
Al (0.0000, 0.2022, 0.4043)
Al (0.0000, 0.7978, 0.5957)
In (0.0000, 0.0000, 0.0000)


Entry 16:
Sm3Ga: relaxed, PBE.

Total energy   -4.529 eV/atom
Calculated formation energy   -0.232 eV per atom
Total magnetization   0.1 μB per formula unit
Offset from the most stable computed form   3.2 kJ per mole of atoms
Space-group type   Pm-3m, No. 221

Unit cell a=4.8081 b=4.8081 c=4.8081 alpha=90.00 beta=90.00 gamma=90.00
Positions (direct):
Ga (0.0000, 0.0000, 0.0000)
Sm (0.5000, 0.0000, 0.5000)
Sm (0.0000, 0.5000, 0.5000)
Sm (0.5000, 0.5000, 0.0000)


Entry 17:
NaCrOs2N: relaxed, PBE.

Total energy   -6.752 eV/atom
Total magnetization   0.0 μB per formula unit
Formation energy (no corrections)   1594 meV/atom
Space-group type   P4/mmm, No. 123

Unit cell a=4.6862 b=4.6862 c=3.6088 alpha=90.00 beta=90.00 gamma=90.00
Positions (direct):
Na (0.5000, 0.5000, 0.5000)
Os (0.5000, 0.0000, 0.0000)
Os (0.0000, 0.5000, 0.0000)
N (0.0000, 0.0000, 0.5000)
Cr (0.0000, 0.0000, 0.0000)


Entry 18:
TcB2TeAs: relaxed, PBE.

Total energy   -4.197 eV/atom
Total magnetization   1.9 μB per formula unit
Formation energy (no corrections)   2105 meV/atom
Space-group type   P4/mmm, No. 123

Unit cell a=4.3199 b=5.2373 c=4.3199 alpha=90.00 beta=90.00 gamma=90.00
Each line ends with the local moment (μB).
Positions (direct):
Tc (0.0000, 0.5000, 0.0000)  1.89
B (0.0000, 0.0000, 0.5000)  -0.03
B (0.5000, 0.0000, 0.0000)  -0.05
As (0.5000, 0.5000, 0.5000)  0.00
Te (0.0000, 0.0000, 0.0000)  -0.02


Entry 19:
Sr2Al5Ga3: relaxed, PBE.

Total energy   -3.442 eV/atom
Calculated formation energy   -0.326 eV per atom
Total magnetization   0.0 μB per formula unit
Offset from the most stable computed form   0.0 kJ per mole of atoms
Space-group type   Ibam, No. 72

Unit cell a=6.2894 b=8.9378 c=8.9378 alpha=76.25 beta=69.40 gamma=69.40
Positions (direct):
Ga (0.3801, 0.4810, 0.7589)
Ga (0.7500, 0.0000, 0.0000)
Ga (0.6199, 0.5190, 0.2411)
Ga (0.8801, 0.7589, 0.4810)
Ga (0.2500, 0.0000, 0.0000)
Ga (0.1199, 0.2411, 0.5190)
Sr (0.6253, 0.1182, 0.6312)
Sr (0.3747, 0.8818, 0.3688)
Sr (0.1253, 0.6312, 0.1182)
Sr (0.8747, 0.3688, 0.8818)
Al (0.4890, 0.2610, 0.2610)
Al (0.3716, 0.2567, 0.0001)
Al (0.8716, 0.0001, 0.2567)
Al (0.6284, 0.7433, 0.9999)
Al (0.1284, 0.9999, 0.7433)
Al (0.0110, 0.7390, 0.7390)
Al (0.7500, 0.5000, 0.5000)
Al (0.5110, 0.7390, 0.7390)
Al (0.2500, 0.5000, 0.5000)
Al (0.9890, 0.2610, 0.2610)


Entry 20:
VGaPt3: relaxed, PBE.

Total energy   -5.471 eV/atom
Calculated formation energy   0.583 eV per atom
Total magnetization   3.3 μB per formula unit
Offset from the most stable computed form   0.0 kJ per mole of atoms
Space-group type   Pm-3m, No. 221

Unit cell a=4.6034 b=4.6034 c=4.6034 alpha=90.00 beta=90.00 gamma=90.00
Each line ends with the local moment (μB).
Positions (direct):
Pt (0.5000, 0.0000, 0.0000)  0.06
Pt (0.0000, 0.0000, 0.5000)  0.06
Pt (0.0000, 0.5000, 0.0000)  0.06
Ga (0.0000, 0.0000, 0.0000)  -0.01
V (0.5000, 0.5000, 0.5000)  2.62